Record 1
A plane-wave DFT calculation with GGA-PBE was carried out for a geometry-optimized Li2Ca2TbIn2 structure.

a b c (Å): 4.974 4.974 9.498
angles (deg): 74.82 74.82 60.00
Fractional coordinates of all 7 atoms:
1 Ca 0.125 0.125 0.624
2 Li 0.611 0.611 0.167
3 In 0.269 0.269 0.192
4 Tb 0.000 0.000 0.000
5 In 0.731 0.731 0.808
6 Li 0.389 0.389 0.833
7 Ca 0.875 0.875 0.376

Values from the calculation:
DOS(E_F) = 4.38 states/eV/f.u.
symmetry = R-3m (166)
DFT formation energy = -1.8 eV/f.u.



Record 2
A plane-wave DFT calculation with GGA-PBE was carried out for a geometry-optimized LiCaTb2In4 structure.

a b c (Å): 5.265 5.265 9.194
angles (deg): 73.36 73.36 60.00
Fractional coordinates of all 8 atoms:
1 Tb 0.752 0.752 0.743
2 Ca 0.000 0.000 0.000
3 Tb 0.248 0.248 0.257
4 Li 0.500 0.500 0.500
5 In 0.127 0.127 0.618
6 In 0.379 0.379 0.864
7 In 0.873 0.873 0.382
8 In 0.621 0.621 0.136

Values from the calculation:
DOS(E_F) = 4.99 states/eV/f.u.
symmetry = R-3m (166)
DFT formation energy = -3.2 eV/f.u.



Record 3
A plane-wave DFT calculation with GGA-PBE was carried out for a geometry-optimized Li2Ca2TbIn5 structure.

a b c (Å): 4.572 10.396 10.396
angles (deg): 90.00 90.00 90.00
Fractional coordinates of all 20 atoms:
1 In 0.500 0.934 0.211
2 Ca 0.000 0.823 0.677
3 Li 0.000 0.117 0.617
4 In 0.500 0.789 0.934
5 Ca 0.000 0.177 0.323
6 In 0.500 0.066 0.789
7 In 0.500 0.711 0.434
8 In 0.500 0.211 0.066
9 Li 0.000 0.617 0.883
10 In 0.500 0.000 0.500
11 Ca 0.000 0.323 0.823
12 In 0.500 0.500 0.000
13 Tb 0.000 0.000 0.000
14 Ca 0.000 0.677 0.177
15 In 0.500 0.566 0.711
16 In 0.500 0.434 0.289
17 Tb 0.000 0.500 0.500
18 Li 0.000 0.383 0.117
19 Li 0.000 0.883 0.383
20 In 0.500 0.289 0.566

Values from the calculation:
DOS(E_F) = 4.07 states/eV/f.u.
symmetry = P4/mbm (127)
DFT formation energy = -3.9 eV/f.u.



Record 4
A plane-wave DFT calculation with GGA-PBE was carried out for a geometry-optimized LiCaThIn structure.

a b c (Å): 5.411 5.411 5.411
angles (deg): 60.00 60.00 60.00
Fractional coordinates of all 4 atoms:
1 Th 0.250 0.250 0.250
2 Li 0.000 0.000 0.000
3 In 0.500 0.500 0.500
4 Ca 0.750 0.750 0.750

Values from the calculation:
DOS(E_F) = 3.26 states/eV/f.u.
symmetry = F-43m (216)
DFT formation energy = -0.3 eV/f.u.



Record 5
A plane-wave DFT calculation with GGA-PBE was carried out for a geometry-optimized Li2CaTl4In structure.

a b c (Å): 3.846 7.903 14.667
angles (deg): 90.00 90.00 104.08
Fractional coordinates of all 16 atoms:
1 Li 0.627 0.255 0.100
2 Tl 0.000 0.000 0.000
3 Li 0.373 0.745 0.600
4 Tl 0.511 0.022 0.750
5 Tl 0.000 0.000 0.500
6 Ca 0.178 0.357 0.750
7 Tl 0.293 0.585 0.426
8 Li 0.627 0.255 0.400
9 In 0.147 0.294 0.250
10 Tl 0.707 0.415 0.574
11 Li 0.373 0.745 0.900
12 In 0.853 0.706 0.750
13 Tl 0.707 0.415 0.926
14 Tl 0.489 0.978 0.250
15 Tl 0.293 0.585 0.074
16 Ca 0.822 0.643 0.250

Values from the calculation:
DOS(E_F) = 3.44 states/eV/f.u.
symmetry = Cmcm (63)
DFT formation energy = -1.2 eV/f.u.



Record 6
A plane-wave DFT calculation with GGA-PBE was carried out for a geometry-optimized LiCaTlIn structure.

a b c (Å): 5.212 5.212 5.212
angles (deg): 60.00 60.00 60.00
Fractional coordinates of all 4 atoms:
1 Tl 0.000 0.000 0.000
2 Ca 0.250 0.250 0.250
3 Li 0.750 0.750 0.750
4 In 0.500 0.500 0.500

Values from the calculation:
DOS(E_F) = 2.00 states/eV/f.u.
symmetry = F-43m (216)
DFT formation energy = -1.3 eV/f.u.